P.
Computed, not measured: a relaxed NbZn2Fe crystal at the PBE level of DFT.

```
NbZn2Fe
1.0
0.000 3.071 3.071
3.071 0.000 3.071
3.071 3.071 0.000
Fe Zn Nb
1 2 1
Direct
0.750 0.750 0.750
0.000 0.000 0.000
0.500 0.500 0.500
0.250 0.250 0.250
```

## Properties
Crystal system = cubic


Q.
Computed, not measured: a relaxed NbZn2Fe crystal at the PBE level of DFT.

```
NbZn2Fe
1.0
-0.548 -4.121 -1.158
-3.705 -2.020 0.902
-2.741 -1.002 -3.179
Fe Zn Nb
1 2 1
Direct
0.250 0.250 0.250
0.000 0.000 0.000
0.750 0.750 0.750
0.500 0.500 0.500
```

## Properties
Crystal system = cubic


The calculated energies rank the structures as follows, beginning with the most stable: Q, P.